This record from the Alexandria database describes a relaxed structure of KPdO. The functional is PBE.

Output
- Space group: P3m1 (156)
- Magnetic moment: 0.00 μB/cell
- Theoretical density: 4.77 g/cm3
- Formation energy from raw total energies: -1.27 eV per formula unit

a = 4.6686 Å, b = 3.7285 Å, c = 3.7285 Å
α = 120.00°, β = 90.00°, γ = 90.00°
Closest atoms and distances in Å follow each position.
Atoms (fractional coordinates):
Pd 0.1670 0.3333 0.6667  3 O 2.15
O 0.1656 0.0000 0.0000  3 Pd 2.15
K 0.6674 0.6667 0.3333  6 O 3.17-3.18, 6 Pd 3.17-3.18

***

This record from the Alexandria database describes a relaxed structure of K3PdO8. The functional is PBE.

Output
- Space group: I-42m (121)
- Magnetic moment: 1.01 μB/cell
- Theoretical density: 2.88 g/cm3
- Formation energy from raw total energies: -7.28 eV per formula unit

a = 6.4303 Å, b = 6.4303 Å, c = 6.4303 Å
α = 103.23°, β = 112.68°, γ = 112.68°
Closest atoms and distances in Å follow each position.
Atoms (fractional coordinates):
O 0.6036 0.8515 0.8515  1 O 1.40
Pd 0.0000 0.0000 0.0000  4 O 2.04
K 0.0000 0.5000 0.5000  8 O 2.79-3.07
O 0.0000 0.6127 0.9460  1 O 1.40
O 0.3333 0.3873 0.3873  1 O 1.40
O 0.0000 0.1485 0.7521  1 O 1.40
O 0.0000 0.9460 0.6127  1 O 1.40
K 0.5000 0.2500 0.7500  4 O 2.67
O 0.0000 0.7521 0.1485  1 O 1.40
K 0.5000 0.7500 0.2500  4 O 2.67
O 0.6667 0.0540 0.0540  1 O 1.40
O 0.3964 0.2479 0.2479  1 O 1.40

***

This record from the Alexandria database describes a relaxed structure of K3Pm3PdO8. The functional is PBE.

Output
- Space group: R-3m (166)
- Magnetic moment: 0.00 μB/cell
- Theoretical density: 4.90 g/cm3
- Formation energy from raw total energies: -32.69 eV per formula unit

a = 6.9939 Å, b = 6.9936 Å, c = 7.4764 Å
α = 117.89°, β = 90.00°, γ = 120.00°
Closest atoms and distances in Å follow each position.
Atoms (fractional coordinates):
O 0.7903 0.0326 0.3230  1 Pd 2.14
K 0.5000 0.5000 0.0000  6 O 2.80-2.82
Pd 0.0000 0.0000 0.5000  6 O 2.14
O 0.7294 0.4589 0.6882  3 Pm 2.34
Pm 0.5000 0.5000 0.5000  6 O 2.34-2.40
Pm 0.5000 0.0000 0.5000  6 O 2.34-2.40
O 0.2097 0.4194 0.6770  1 Pd 2.14
O 0.7577 0.9674 0.6770  1 Pd 2.14
K 0.0000 0.0000 0.0000  6 O 2.80-2.81
O 0.2423 0.0326 0.3230  1 Pd 2.14
O 0.2706 0.5411 0.3118  3 Pm 2.34
O 0.7903 0.5806 0.3230  1 Pd 2.14
K 0.0000 0.5000 0.0000  6 O 2.80-2.82
O 0.2097 0.9674 0.6770  1 Pd 2.14
Pm 0.0000 0.5000 0.5000  6 O 2.34-2.40

***

This record from the Alexandria database describes a relaxed structure of KPmPd2O4. The functional is PBE.

Output
- Space group: P4/mmm (123)
- Magnetic moment: 0.00 μB/cell
- Theoretical density: 6.35 g/cm3
- Formation energy from raw total energies: -12.25 eV per formula unit

a = 4.0355 Å, b = 4.0355 Å, c = 7.4011 Å
α = 90.00°, β = 90.00°, γ = 90.00°
Closest atoms and distances in Å follow each position.
Atoms (fractional coordinates):
O 0.5000 0.0000 0.1975  2 Pd 2.05
Pm 0.0000 0.0000 0.0000  8 O 2.49
O 0.5000 0.0000 0.8025  2 Pd 2.05
O 0.0000 0.5000 0.1975  2 Pd 2.05
K 0.0000 0.0000 0.5000  8 O 3.01
Pd 0.5000 0.5000 0.2468  4 O 2.05
Pd 0.5000 0.5000 0.7532  4 O 2.05
O 0.0000 0.5000 0.8025  2 Pd 2.05

***

This record from the Alexandria database describes a relaxed structure of KPm2PdO4. The functional is PBE.

Output
- Space group: I-42m (121)
- Magnetic moment: 1.00 μB/cell
- Theoretical density: 5.16 g/cm3
- Formation energy from raw total energies: -16.21 eV per formula unit

a = 6.6900 Å, b = 6.6900 Å, c = 6.6900 Å
α = 69.80°, β = 132.27°, γ = 132.27°
Closest atoms and distances in Å follow each position.
Atoms (fractional coordinates):
Pm 0.5000 0.2500 0.7500  4 O 2.24
K 0.0000 0.0000 0.0000  4 O 2.66
Pm 0.5000 0.7500 0.2500  4 O 2.24
O 0.5552 0.4237 0.4237  2 Pm 2.24, 1 Pd 2.34
O 0.0000 0.5763 0.1315  2 Pm 2.24, 1 Pd 2.34
Pd 0.0000 0.5000 0.5000  4 O 2.34
O 0.4448 0.8685 0.8685  2 Pm 2.24, 1 Pd 2.34
O 0.0000 0.1315 0.5763  2 Pm 2.24, 1 Pd 2.34

***

This record from the Alexandria database describes a relaxed structure of KPmPdO4. The functional is PBE.

Output
- Space group: P2_1/m (11)
- Magnetic moment: 0.00 μB/cell
- Theoretical density: 4.62 g/cm3
- Formation energy from raw total energies: -10.59 eV per formula unit

a = 6.0222 Å, b = 5.5007 Å, c = 8.1900 Å
α = 90.00°, β = 110.04°, γ = 90.00°
Closest atoms and distances in Å follow each position.
Atoms (fractional coordinates):
Pm 0.2265 0.2500 0.5260  6 O 2.38-2.43
Pm 0.7735 0.7500 0.4740  6 O 2.38-2.43
O 0.4480 0.7500 0.1989  1 Pd 1.90
O 0.9585 0.9854 0.3133  1 Pd 1.97
O 0.4015 0.7500 0.5220  1 Pd 1.99
K 0.4177 0.7500 0.8582  6 O 2.65-2.95
O 0.5985 0.2500 0.4780  1 Pd 1.99
O 0.9585 0.5146 0.3133  1 Pd 1.97
Pd 0.1843 0.7500 0.2768  4 O 1.90-1.99
O 0.0415 0.0146 0.6867  1 Pd 1.97
O 0.0415 0.4854 0.6867  1 Pd 1.97
K 0.5823 0.2500 0.1418  6 O 2.65-2.95
Pd 0.8157 0.2500 0.7232  4 O 1.90-1.99
O 0.5520 0.2500 0.8011  1 Pd 1.90